# Cu2AgOs (GGA-PBE, relaxed)
# **Magnetic moment**: 0.29 μB per formula unit
# **Fermi-level density of states**: 0.9487 states/eV/atom
# **Energy of formation**: 342 meV/atom
# **Relative energy among the computed polymorphs**: 79 meV per atom
# **SG**: P4/mmm
data_Cu2AgOs
_chemical_formula_sum 'Cu2 Ag1 Os1'
_cell_length_a 2.6923
_cell_length_b 2.6923
_cell_length_c 7.7738
_cell_angle_alpha 90.00
_cell_angle_beta 90.00
_cell_angle_gamma 90.00
_space_group_name_H-M_alt 'P 1'
_space_group_IT_number 1
loop_
_space_group_symop_operation_xyz
'x,y,z'
loop_
_atom_site_label
_atom_site_type_symbol
_atom_site_fract_x
_atom_site_fract_y
_atom_site_fract_z
Ag1 Ag 0.5000 0.5000 0.7500
Cu1 Cu 0.0000 0.0000 0.0123
Cu2 Cu 0.0000 0.0000 0.4877
Os1 Os 0.5000 0.5000 0.2500

***

# Cu2AgOs (GGA-PBE, relaxed)
# **Magnetic moment**: 0.42 μB per formula unit
# **Fermi-level density of states**: 0.9410 states/eV/atom
# **Energy of formation**: 419 meV/atom
# **Relative energy among the computed polymorphs**: 156 meV per atom
# **SG**: P4mm
data_Cu2AgOs
_chemical_formula_sum 'Cu2 Ag1 Os1'
_cell_length_a 2.6652
_cell_length_b 2.6652
_cell_length_c 7.9299
_cell_angle_alpha 90.00
_cell_angle_beta 90.00
_cell_angle_gamma 90.00
_space_group_name_H-M_alt 'P 1'
_space_group_IT_number 1
loop_
_space_group_symop_operation_xyz
'x,y,z'
loop_
_atom_site_label
_atom_site_type_symbol
_atom_site_fract_x
_atom_site_fract_y
_atom_site_fract_z
Os1 Os 0.0000 0.0000 0.4771
Cu1 Cu 0.0000 0.0000 0.0206
Cu2 Cu 0.5000 0.5000 0.2403
Ag1 Ag 0.5000 0.5000 0.7620

***

# CuAgOs (GGA-PBE, relaxed)
# **Magnetic moment**: 0.00 μB per formula unit
# **Fermi-level density of states**: 0.6710 states/eV/atom
# **Energy of formation**: 484 meV/atom
# **Relative energy among the computed polymorphs**: 79 meV per atom
# **SG**: Fmm2
data_CuAgOs
_chemical_formula_sum 'Cu1 Ag1 Os1'
_cell_length_a 7.4157
_cell_length_b 7.1859
_cell_length_c 2.6821
_cell_angle_alpha 84.29
_cell_angle_beta 74.62
_cell_angle_gamma 21.09
_space_group_name_H-M_alt 'P 1'
_space_group_IT_number 1
loop_
_space_group_symop_operation_xyz
'x,y,z'
loop_
_atom_site_label
_atom_site_type_symbol
_atom_site_fract_x
_atom_site_fract_y
_atom_site_fract_z
Cu1 Cu 0.3305 0.3305 0.6695
Os1 Os 0.6757 0.6757 0.3243
Ag1 Ag 0.9938 0.9938 0.0062

***

# CuAg2Os (GGA-PBE, relaxed)
# **Magnetic moment**: 0.00 μB per formula unit
# **Fermi-level density of states**: 0.9432 states/eV/atom
# **Energy of formation**: 753 meV/atom
# **Relative energy among the computed polymorphs**: 418 meV per atom
# **SG**: P4/mmm
data_CuAg2Os
_chemical_formula_sum 'Cu1 Ag2 Os1'
_cell_length_a 4.2164
_cell_length_b 3.8360
_cell_length_c 3.8360
_cell_angle_alpha 90.00
_cell_angle_beta 90.00
_cell_angle_gamma 90.00
_space_group_name_H-M_alt 'P 1'
_space_group_IT_number 1
loop_
_space_group_symop_operation_xyz
'x,y,z'
loop_
_atom_site_label
_atom_site_type_symbol
_atom_site_fract_x
_atom_site_fract_y
_atom_site_fract_z
Ag1 Ag 0.0000 0.5000 0.5000
Ag2 Ag 0.0000 0.0000 0.0000
Cu1 Cu 0.5000 0.5000 0.0000
Os1 Os 0.5000 0.0000 0.5000

***

# Cu2AgOs (GGA-PBE, relaxed)
# **Magnetic moment**: 0.00 μB per formula unit
# **Fermi-level density of states**: 0.5014 states/eV/atom
# **Energy of formation**: 263 meV/atom
# **Relative energy among the computed polymorphs**: 0 meV per atom
# **SG**: R-3m
data_Cu2AgOs
_chemical_formula_sum 'Cu2 Ag1 Os1'
_cell_length_a 9.0659
_cell_length_b 9.0659
_cell_length_c 9.0659
_cell_angle_alpha 17.16
_cell_angle_beta 17.16
_cell_angle_gamma 17.16
_space_group_name_H-M_alt 'P 1'
_space_group_IT_number 1
loop_
_space_group_symop_operation_xyz
'x,y,z'
loop_
_atom_site_label
_atom_site_type_symbol
_atom_site_fract_x
_atom_site_fract_y
_atom_site_fract_z
Cu1 Cu 0.9967 0.9967 0.9967
Cu2 Cu 0.5033 0.5033 0.5033
Os1 Os 0.2500 0.2500 0.2500
Ag1 Ag 0.7500 0.7500 0.7500

***

# CuAgOs (GGA-PBE, relaxed)
# **Magnetic moment**: 0.00 μB per formula unit
# **Fermi-level density of states**: 0.8519 states/eV/atom
# **Energy of formation**: 405 meV/atom
# **Relative energy among the computed polymorphs**: 0 meV per atom
# **SG**: P3m1
data_CuAgOs
_chemical_formula_sum 'Cu1 Ag1 Os1'
_cell_length_a 2.7221
_cell_length_b 2.7221
_cell_length_c 6.8810
_cell_angle_alpha 90.00
_cell_angle_beta 90.00
_cell_angle_gamma 120.00
_space_group_name_H-M_alt 'P 1'
_space_group_IT_number 1
loop_
_space_group_symop_operation_xyz
'x,y,z'
loop_
_atom_site_label
_atom_site_type_symbol
_atom_site_fract_x
_atom_site_fract_y
_atom_site_fract_z
Ag1 Ag 0.0000 0.0000 0.0101
Os1 Os 0.3333 0.6667 0.6484
Cu1 Cu 0.6667 0.3333 0.3415

***

# CuAg2Os (GGA-PBE, relaxed)
# **Magnetic moment**: 1.75 μB per formula unit
# **Fermi-level density of states**: 0.8603 states/eV/atom
# **Energy of formation**: 766 meV/atom
# **Relative energy among the computed polymorphs**: 431 meV per atom
# **SG**: I-4m2
data_CuAg2Os
_chemical_formula_sum 'Cu1 Ag2 Os1'
_cell_length_a 4.7262
_cell_length_b 4.7262
_cell_length_c 4.7262
_cell_angle_alpha 128.59
_cell_angle_beta 128.59
_cell_angle_gamma 75.66
_space_group_name_H-M_alt 'P 1'
_space_group_IT_number 1
loop_
_space_group_symop_operation_xyz
'x,y,z'
loop_
_atom_site_label
_atom_site_type_symbol
_atom_site_fract_x
_atom_site_fract_y
_atom_site_fract_z
Cu1 Cu 0.5000 0.5000 0.0000
Ag1 Ag 0.7500 0.2500 0.5000
Ag2 Ag 0.0000 0.0000 0.0000
Os1 Os 0.2500 0.7500 0.5000

***

# CuAg2Os (GGA-PBE, relaxed)
# **Magnetic moment**: 0.00 μB per formula unit
# **Fermi-level density of states**: 0.4702 states/eV/atom
# **Energy of formation**: 546 meV/atom
# **Relative energy among the computed polymorphs**: 212 meV per atom
# **SG**: C2/m
data_CuAg2Os
_chemical_formula_sum 'Cu1 Ag2 Os1'
_cell_length_a 5.5273
_cell_length_b 5.5273
_cell_length_c 2.6132
_cell_angle_alpha 78.17
_cell_angle_beta 78.17
_cell_angle_gamma 120.65
_space_group_name_H-M_alt 'P 1'
_space_group_IT_number 1
loop_
_space_group_symop_operation_xyz
'x,y,z'
loop_
_atom_site_label
_atom_site_type_symbol
_atom_site_fract_x
_atom_site_fract_y
_atom_site_fract_z
Ag1 Ag 0.0000 0.0000 0.0000
Ag2 Ag 0.5000 0.5000 0.0000
Cu1 Cu 0.5000 0.0000 0.5000
Os1 Os 0.0000 0.5000 0.5000

***

# Cu2AgOs (GGA-PBE, relaxed)
# **Magnetic moment**: 0.00 μB per formula unit
# **Fermi-level density of states**: 0.6279 states/eV/atom
# **Energy of formation**: 390 meV/atom
# **Relative energy among the computed polymorphs**: 128 meV per atom
# **SG**: Cmm2
data_Cu2AgOs
_chemical_formula_sum 'Cu2 Ag1 Os1'
_cell_length_a 2.6536
_cell_length_b 2.6536
_cell_length_c 9.1400
_cell_angle_alpha 90.00
_cell_angle_beta 90.00
_cell_angle_gamma 116.95
_space_group_name_H-M_alt 'P 1'
_space_group_IT_number 1
loop_
_space_group_symop_operation_xyz
'x,y,z'
loop_
_atom_site_label
_atom_site_type_symbol
_atom_site_fract_x
_atom_site_fract_y
_atom_site_fract_z
Cu1 Cu 0.5000 0.5000 0.2412
Cu2 Cu 0.0000 0.0000 0.0157
Os1 Os 0.0000 0.0000 0.4816
Ag1 Ag 0.5000 0.5000 0.7615

***

# CuAg2Os (GGA-PBE, relaxed)
# **Magnetic moment**: 0.00 μB per formula unit
# **Fermi-level density of states**: 0.5944 states/eV/atom
# **Energy of formation**: 544 meV/atom
# **Relative energy among the computed polymorphs**: 209 meV per atom
# **SG**: Cmmm
data_CuAg2Os
_chemical_formula_sum 'Cu1 Ag2 Os1'
_cell_length_a 5.0549
_cell_length_b 5.0549
_cell_length_c 2.6438
_cell_angle_alpha 90.00
_cell_angle_beta 90.00
_cell_angle_gamma 113.30
_space_group_name_H-M_alt 'P 1'
_space_group_IT_number 1
loop_
_space_group_symop_operation_xyz
'x,y,z'
loop_
_atom_site_label
_atom_site_type_symbol
_atom_site_fract_x
_atom_site_fract_y
_atom_site_fract_z
Ag1 Ag 0.5000 0.5000 0.0000
Ag2 Ag 0.0000 0.0000 0.0000
Cu1 Cu 0.5000 0.0000 0.5000
Os1 Os 0.0000 0.5000 0.5000

***

# Cu2AgOs (GGA-PBE, relaxed)
# **Magnetic moment**: 1.92 μB per formula unit
# **Fermi-level density of states**: 0.6942 states/eV/atom
# **Energy of formation**: 735 meV/atom
# **Relative energy among the computed polymorphs**: 472 meV per atom
# **SG**: F-43m
data_Cu2AgOs
_chemical_formula_sum 'Cu2 Ag1 Os1'
_cell_length_a 4.3378
_cell_length_b 4.3378
_cell_length_c 4.3378
_cell_angle_alpha 60.00
_cell_angle_beta 60.00
_cell_angle_gamma 60.00
_space_group_name_H-M_alt 'P 1'
_space_group_IT_number 1
loop_
_space_group_symop_operation_xyz
'x,y,z'
loop_
_atom_site_label
_atom_site_type_symbol
_atom_site_fract_x
_atom_site_fract_y
_atom_site_fract_z
Ag1 Ag 0.5000 0.5000 0.5000
Cu1 Cu 0.0000 0.0000 0.0000
Cu2 Cu 0.2500 0.2500 0.2500
Os1 Os 0.7500 0.7500 0.7500

***

# Cu2AgOs (GGA-PBE, relaxed)
# **Magnetic moment**: 0.00 μB per formula unit
# **Fermi-level density of states**: 0.6311 states/eV/atom
# **Energy of formation**: 372 meV/atom
# **Relative energy among the computed polymorphs**: 109 meV per atom
# **SG**: Cmmm
data_Cu2AgOs
_chemical_formula_sum 'Cu2 Ag1 Os1'
_cell_length_a 6.2758
_cell_length_b 4.7195
_cell_length_c 2.6093
_cell_angle_alpha 90.02
_cell_angle_beta 65.40
_cell_angle_gamma 123.35
_space_group_name_H-M_alt 'P 1'
_space_group_IT_number 1
loop_
_space_group_symop_operation_xyz
'x,y,z'
loop_
_atom_site_label
_atom_site_type_symbol
_atom_site_fract_x
_atom_site_fract_y
_atom_site_fract_z
Os1 Os 0.0000 0.5000 0.5000
Cu1 Cu 0.0000 0.0000 0.0000
Cu2 Cu 0.5000 0.0000 0.5000
Ag1 Ag 0.5000 0.5000 0.0000

***

# CuAg2Os (GGA-PBE, relaxed)
# **Magnetic moment**: 0.00 μB per formula unit
# **Fermi-level density of states**: 0.4763 states/eV/atom
# **Energy of formation**: 568 meV/atom
# **Relative energy among the computed polymorphs**: 233 meV per atom
# **SG**: P2/m
data_CuAg2Os
_chemical_formula_sum 'Cu1 Ag2 Os1'
_cell_length_a 4.7728
_cell_length_b 2.6291
_cell_length_c 4.9826
_cell_angle_alpha 86.17
_cell_angle_beta 90.00
_cell_angle_gamma 90.00
_space_group_name_H-M_alt 'P 1'
_space_group_IT_number 1
loop_
_space_group_symop_operation_xyz
'x,y,z'
loop_
_atom_site_label
_atom_site_type_symbol
_atom_site_fract_x
_atom_site_fract_y
_atom_site_fract_z
Cu1 Cu 0.5000 0.2500 0.2500
Ag1 Ag 0.0000 0.4637 0.4974
Ag2 Ag 0.0000 0.0363 0.0026
Os1 Os 0.5000 0.7500 0.7500

***

# Cu2AgOs (GGA-PBE, relaxed)
# **Magnetic moment**: 1.16 μB per formula unit
# **Fermi-level density of states**: 0.8661 states/eV/atom
# **Energy of formation**: 1010 meV/atom
# **Relative energy among the computed polymorphs**: 747 meV per atom
# **SG**: I-42d
data_Cu2AgOs
_chemical_formula_sum 'Cu4 Ag2 Os2'
_cell_length_a 3.7987
_cell_length_b 3.7987
_cell_length_c 9.1895
_cell_angle_alpha 78.07
_cell_angle_beta 78.07
_cell_angle_gamma 90.00
_space_group_name_H-M_alt 'P 1'
_space_group_IT_number 1
loop_
_space_group_symop_operation_xyz
'x,y,z'
loop_
_atom_site_label
_atom_site_type_symbol
_atom_site_fract_x
_atom_site_fract_y
_atom_site_fract_z
Ag1 Ag 0.5000 0.5000 0.0000
Ag2 Ag 0.2500 0.7500 0.5000
Cu1 Cu 0.8750 0.8972 0.7500
Cu2 Cu 0.1028 0.6250 0.2500
Cu3 Cu 0.6472 0.1250 0.2500
Cu4 Cu 0.3750 0.3528 0.7500
Os1 Os 0.7500 0.2500 0.5000
Os2 Os 0.0000 0.0000 0.0000

***

# CuAg2Os (GGA-PBE, relaxed)
# **Magnetic moment**: 0.50 μB per formula unit
# **Fermi-level density of states**: 0.7632 states/eV/atom
# **Energy of formation**: 543 meV/atom
# **Relative energy among the computed polymorphs**: 209 meV per atom
# **SG**: P4/mmm
data_CuAg2Os
_chemical_formula_sum 'Cu1 Ag2 Os1'
_cell_length_a 2.6889
_cell_length_b 2.6889
_cell_length_c 8.5653
_cell_angle_alpha 90.00
_cell_angle_beta 90.00
_cell_angle_gamma 90.00
_space_group_name_H-M_alt 'P 1'
_space_group_IT_number 1
loop_
_space_group_symop_operation_xyz
'x,y,z'
loop_
_atom_site_label
_atom_site_type_symbol
_atom_site_fract_x
_atom_site_fract_y
_atom_site_fract_z
Cu1 Cu 0.5000 0.5000 0.2500
Os1 Os 0.5000 0.5000 0.7500
Ag1 Ag 0.0000 0.0000 0.0121
Ag2 Ag 0.0000 0.0000 0.4879